SmEr2In4 (PBE-GGA, optimized geometry); total DFT energy (no corrections) = -3.85 eV/atom; V = 205 Å³ per cell; space group = No. 139; total magnetic moment = 0.0 Bohr magnetons per cell; N(E_F) = 6.28 states/eV/f.u.
1.0
-3.7746 3.7746 3.5988
3.7746 -3.7746 3.5988
3.7746 3.7746 -3.5988
Sm Er In
1 2 4
Direct
0.0000 0.0000 0.0000 Sm
0.0000 0.5000 0.5000 Er
0.5000 0.0000 0.5000 Er
0.0000 0.0000 0.5000 In
0.0000 0.5000 0.0000 In
0.5000 0.0000 0.0000 In
0.5000 0.5000 0.5000 In



MgV3Cu (PBE-GGA, optimized geometry); ΔE to the lowest computed polymorph = 0.8643 eV/atom; V = 90 Å³ per cell; space group = No. 221; total magnetic moment = 1.9 Bohr magnetons per cell; N(E_F) = 6.17 states/eV/f.u.
1.0
4.4818 0.0000 0.0000
0.0000 4.4818 0.0000
0.0000 0.0000 4.4818
Mg V Cu
1 3 1
Direct
0.0000 0.0000 0.0000 Mg
0.0000 0.0000 0.5000 V
0.0000 0.5000 0.0000 V
0.5000 0.0000 0.0000 V
0.5000 0.5000 0.5000 Cu



PrNd2Sm5Th (PBE-GGA, optimized geometry); total DFT energy (no corrections) = -4.88 eV/atom; V = 626 Å³ per cell; space group = No. 36; total magnetic moment = 0.0 Bohr magnetons per cell; N(E_F) = 13.08 states/eV/f.u.
1.0
2.8788 -10.2392 0.0000
2.8788 10.2392 0.0000
0.0000 0.0000 10.6126
Pr Nd Sm Th
2 4 10 2
Direct
0.0889 0.9111 0.5000 Pr
0.9111 0.0889 0.0000 Pr
0.3834 0.6166 0.7803 Nd
0.3846 0.6154 0.3717 Nd
0.6154 0.3846 0.8717 Nd
0.6166 0.3834 0.2803 Nd
0.0212 0.9788 0.7900 Sm
0.1120 0.8880 0.0760 Sm
0.2039 0.7961 0.7580 Sm
0.2243 0.7757 0.3687 Sm
0.4838 0.5162 0.0740 Sm
0.5162 0.4838 0.5740 Sm
0.7757 0.2243 0.8687 Sm
0.7961 0.2039 0.2580 Sm
0.8880 0.1120 0.5760 Sm
0.9788 0.0212 0.2900 Sm
0.2998 0.7002 0.0651 Th
0.7002 0.2998 0.5651 Th



Question: total magnetic moment of number 3 (PrNd2Sm5Th)?
Answer: 0.0 Bohr magnetons per cell



Question: Which formula does entry 3 have?
Answer: PrNd2Sm5Th



Question: What is the formula in the third record?
Answer: PrNd2Sm5Th



Question: The highest N(E_F) belongs to which entry?
Answer: PrNd2Sm5Th